Record 1
# PBE LaSm3Co2, relaxed
data_LaSm3Co2
_symmetry_space_group_name_H-M 'C 1 2/m 1'
_symmetry_Int_Tables_number 12
_symmetry_space_group_name_Hall '-C 2y'
_cell_length_a 17.021
_cell_length_b 3.788
_cell_length_c 12.163
_cell_angle_alpha 90.00
_cell_angle_beta 125.52
_cell_angle_gamma 90.00
loop_
_atom_site_label
_atom_site_type_symbol
_atom_site_fract_x
_atom_site_fract_y
_atom_site_fract_z
_atom_site_occupancy
La1 La 0.159 0.000 0.258 1
Sm1 Sm 0.083 0.500 0.447 1
Sm2 Sm 0.087 0.500 0.944 1
Sm3 Sm 0.158 0.000 0.751 1
Co1 Co 0.235 0.000 0.046 1
Co2 Co 0.237 0.000 0.557 1
# **ΔH_f (0 K)**: -0.084 eV per atom

***

Record 2
# PBE La2Sm2Co, relaxed
data_La2Sm2Co
_symmetry_space_group_name_H-M 'I 41/a m d'
_symmetry_Int_Tables_number 141
_cell_length_a 4.922
_cell_length_b 4.922
_cell_length_c 25.203
_cell_angle_alpha 90.00
_cell_angle_beta 90.00
_cell_angle_gamma 90.00
loop_
_symmetry_equiv_pos_as_xyz
'x,y,z'
'-x,-y,-z'
'-y+1/4,x+3/4,z+1/4'
'y+1/4,-x+3/4,-z+1/4'
'-x+1/2,-y,z+1/2'
'x+1/2,y,-z+1/2'
'y+1/4,-x+1/4,z+3/4'
'-y+1/4,x+1/4,-z+3/4'
'x,-y,-z'
'-x,y,z'
'-y+1/4,-x+1/4,-z+3/4'
'y+1/4,x+1/4,z+3/4'
'-x+1/2,y,-z+1/2'
'x+1/2,-y,z+1/2'
'y+1/4,x+3/4,-z+1/4'
'-y+1/4,-x+3/4,z+1/4'
'x+1/2,y+1/2,z+1/2'
'-x+1/2,-y+1/2,-z+1/2'
'-y+3/4,x+1/4,z+3/4'
'y+3/4,-x+1/4,-z+3/4'
'-x,-y+1/2,z'
'x,y+1/2,-z'
'y+3/4,-x+3/4,z+1/4'
'-y+3/4,x+3/4,-z+1/4'
'x+1/2,-y+1/2,-z+1/2'
'-x+1/2,y+1/2,z+1/2'
'-y+3/4,-x+3/4,-z+1/4'
'y+3/4,x+3/4,z+1/4'
'-x,y+1/2,-z'
'x,-y+1/2,z'
'y+3/4,x+1/4,-z+3/4'
'-y+3/4,-x+1/4,z+3/4'
loop_
_atom_site_label
_atom_site_type_symbol
_atom_site_fract_x
_atom_site_fract_y
_atom_site_fract_z
_atom_site_occupancy
La1 La 0.000 0.250 0.066 1
Sm1 Sm 0.000 0.250 0.197 1
Co1 Co 0.000 0.250 0.375 1
# **ΔH_f (0 K)**: 0.067 eV per atom

***

Record 3
# PBE La2SmCo, relaxed
data_La2SmCo
_symmetry_space_group_name_H-M 'R 3 m'
_symmetry_Int_Tables_number 160
_symmetry_space_group_name_Hall 'R 3 -2"'
_cell_length_a 3.9131
_cell_length_b 3.9131
_cell_length_c 28.0546
_cell_angle_alpha 90.00
_cell_angle_beta 90.00
_cell_angle_gamma 120.00
loop_
_atom_site_label
_atom_site_type_symbol
_atom_site_fract_x
_atom_site_fract_y
_atom_site_fract_z
_atom_site_occupancy
La1 La 0.0000 0.0000 0.0000 1
La2 La 0.0000 0.0000 0.2204 1
Sm1 Sm 0.0000 0.0000 0.4438 1
Co1 Co 0.0000 0.0000 0.6094 1
# **ΔH_f (0 K)**: 0.008 eV per atom
# **Energy above the most stable polymorph in this dataset**: 0.407 eV/f.u.

***

Record 4
# PBE La3Sm2Co2, relaxed
data_La3Sm2Co2
_symmetry_space_group_name_H-M 'P -1'
_symmetry_Int_Tables_number 2
_symmetry_space_group_name_Hall '-P 1'
_cell_length_a 3.844
_cell_length_b 6.460
_cell_length_c 8.780
_cell_angle_alpha 100.50
_cell_angle_beta 102.55
_cell_angle_gamma 107.28
loop_
_atom_site_label
_atom_site_type_symbol
_atom_site_fract_x
_atom_site_fract_y
_atom_site_fract_z
_atom_site_occupancy
La1 La 0.000 0.000 0.000 1
La2 La 0.306 0.191 0.420 1
Sm1 Sm 0.131 0.453 0.809 1
Co1 Co 0.430 0.111 0.749 1
# **ΔH_f (0 K)**: -0.082 eV per atom

***

Record 5
# PBE LaSmCo2, relaxed
data_LaSmCo2
_symmetry_space_group_name_H-M 'P m c 21'
_symmetry_Int_Tables_number 26
_symmetry_space_group_name_Hall 'P 2c -2'
_cell_length_a 3.913
_cell_length_b 5.838
_cell_length_c 7.677
_cell_angle_alpha 90.00
_cell_angle_beta 90.00
_cell_angle_gamma 90.00
loop_
_atom_site_label
_atom_site_type_symbol
_atom_site_fract_x
_atom_site_fract_y
_atom_site_fract_z
_atom_site_occupancy
La1 La 0.000 0.127 0.000 1
Sm1 Sm 0.500 0.374 0.358 1
Co1 Co 0.000 0.352 0.649 1
Co2 Co 0.500 0.158 0.708 1
# **ΔH_f (0 K)**: -0.078 eV per atom
# **Energy above the most stable polymorph in this dataset**: 0.038 eV/f.u.

***

Record 6
# PBE LaSmCo2, relaxed
data_LaSmCo2
_symmetry_space_group_name_H-M 'F m -3 m'
_symmetry_Int_Tables_number 225
_symmetry_space_group_name_Hall '-F 4 2 3'
_cell_length_a 6.932
_cell_length_b 6.932
_cell_length_c 6.932
_cell_angle_alpha 90.00
_cell_angle_beta 90.00
_cell_angle_gamma 90.00
loop_
_atom_site_label
_atom_site_type_symbol
_atom_site_fract_x
_atom_site_fract_y
_atom_site_fract_z
_atom_site_occupancy
La1 La 0.000 0.000 0.000 1
Sm1 Sm 0.000 0.000 0.500 1
Co1 Co 0.250 0.250 0.250 1
# **ΔH_f (0 K)**: 0.019 eV per atom
# **Energy above the most stable polymorph in this dataset**: 0.427 eV/f.u.

***

Record 7
# PBE LaSmCo2, relaxed
data_LaSmCo2
_symmetry_space_group_name_H-M 'A m m 2'
_symmetry_Int_Tables_number 38
_symmetry_space_group_name_Hall 'A 2 -2'
_cell_length_a 3.926
_cell_length_b 4.003
_cell_length_c 11.096
_cell_angle_alpha 90.00
_cell_angle_beta 90.00
_cell_angle_gamma 90.00
loop_
_atom_site_label
_atom_site_type_symbol
_atom_site_fract_x
_atom_site_fract_y
_atom_site_fract_z
_atom_site_occupancy
La1 La 0.000 0.000 0.000 1
Sm1 Sm 0.500 0.000 0.281 1
Co1 Co 0.000 0.000 0.701 1
Co2 Co 0.500 0.000 0.585 1
# **ΔH_f (0 K)**: -0.088 eV per atom
# **Energy above the most stable polymorph in this dataset**: 0.000 eV/f.u.

***

Record 8
# PBE La4Sm2Co, relaxed
data_La4Sm2Co
_symmetry_space_group_name_H-M 'I 4/m m m'
_symmetry_Int_Tables_number 139
_symmetry_space_group_name_Hall '-I 4 2'
_cell_length_a 5.152
_cell_length_b 5.152
_cell_length_c 18.347
_cell_angle_alpha 90.00
_cell_angle_beta 90.00
_cell_angle_gamma 90.00
loop_
_atom_site_label
_atom_site_type_symbol
_atom_site_fract_x
_atom_site_fract_y
_atom_site_fract_z
_atom_site_occupancy
La1 La 0.000 0.000 0.158 1
La2 La 0.000 0.500 0.000 1
Sm1 Sm 0.000 0.000 0.332 1
Co1 Co 0.000 0.000 0.000 1
# **ΔH_f (0 K)**: 0.206 eV per atom